Ti3ZnH PBE optimized geometry; energy above the lowest structure with this stoichiometry = 0.000 eV per atom; space group = Pm-3m, No. 221
1.0
4.042 0.000 0.000
0.000 4.042 0.000
0.000 0.000 4.042
Zn Ti H
1 3 1
direct
0.500 0.500 0.500 Zn
0.000 0.000 0.500 Ti
0.500 0.000 0.000 Ti
0.000 0.500 0.000 Ti
0.000 0.000 0.000 H

***

Ti3ZnH PBE optimized geometry; energy above the lowest structure with this stoichiometry = 0.266 eV per atom; space group = I-4m2, No. 119
1.0
5.420 0.000 0.000
0.000 5.420 0.000
2.710 2.710 4.863
Zn Ti H
2 6 2
direct
0.878 0.378 0.243 Zn
0.622 0.122 0.757 Zn
0.126 0.871 0.747 Ti
0.628 0.628 0.744 Ti
0.618 0.874 0.253 Ti
0.126 0.382 0.747 Ti
0.129 0.874 0.253 Ti
0.372 0.372 0.256 Ti
0.250 0.750 0.500 H
0.000 0.000 0.000 H

***

Ti3ZnH PBE optimized geometry; energy above the lowest structure with this stoichiometry = 0.065 eV per atom; space group = P2_1/m, No. 11
1.0
4.647 0.000 0.797
0.000 5.532 0.000
-0.922 0.000 5.059
Ti Zn H
6 2 2
direct
0.754 0.250 0.629 Ti
0.245 0.502 0.845 Ti
0.246 0.750 0.371 Ti
0.755 0.002 0.155 Ti
0.245 0.998 0.845 Ti
0.755 0.498 0.155 Ti
0.248 0.250 0.345 Zn
0.752 0.750 0.655 Zn
0.465 0.750 0.063 H
0.535 0.250 0.937 H

***

Ti3ZnH PBE optimized geometry; energy above the lowest structure with this stoichiometry = 0.046 eV per atom; space group = Pmmm, No. 47
1.0
-0.648 3.497 -4.752
0.502 -2.291 -1.754
-7.514 -1.556 -0.120
H Ti Zn
2 6 2
direct
0.083 0.429 0.819 H
0.082 0.428 0.319 H
0.824 0.929 0.819 Ti
0.082 0.429 0.069 Ti
0.341 0.929 0.819 Ti
0.082 0.429 0.569 Ti
0.341 0.929 0.319 Ti
0.824 0.929 0.319 Ti
0.582 0.429 0.569 Zn
0.582 0.429 0.069 Zn

***

no.,D(E_F) (states/eV/cell),calculated volume (Å³ per cell),calculated density (g/cm3)
1,2.323,66.04,5.281
2,11.857,142.89,4.881
3,8.693,134.12,5.200
4,7.146,133.41,5.228